9
Lattice="-0.9463 -4.2265 2.7963 3.2642 -3.9807 -0.2606 3.6799 2.6438 5.2033" Properties=species:S:1:pos:R:3 comment="GGA+U CsPuCoO6, relaxed" spacegroup=C2 n_ef_per_ev_cell=1.15 energy_ev_per_atom=-7.23 pbc="T T T"
Co 3.3977 -4.1932 4.3053
Pu 2.6148 -1.4205 3.4487
Cs 5.9970 -5.5617 7.7384
O 3.0734 -2.4525 5.0855
O 2.9570 -3.2266 2.6890
O 5.2765 -3.7943 4.2024
O 3.5843 -4.9276 5.9894
O 3.8398 -5.6840 3.3092
O 1.5670 -4.7634 4.4611